Record 1
PmSi2Ni3 | PBE-GGA | relaxed

Lattice parameters (Å, degrees): 3.8276 7.5741 7.0422 113.76 90.00 104.64
With the nearest neighbours (Å) after each atom.
Positions (direct):
Pm: 0.8455 0.6909 0.9301  7 Si 3.03-3.11, 7 Ni 3.12-3.28
Pm: 0.1545 0.3091 0.0699  7 Si 3.03-3.11, 7 Ni 3.12-3.28
Si: 0.4796 0.9593 0.8154  4 Ni 2.26-2.31, 1 Si 2.41
Si: 0.5204 0.0407 0.1846  4 Ni 2.26-2.31, 1 Si 2.41
Si: 0.8166 0.6332 0.3435  6 Ni 2.27-2.45
Si: 0.1834 0.3668 0.6565  6 Ni 2.27-2.45
Ni: 0.3170 0.6340 0.5600  4 Si 2.31-2.45, 1 Ni 2.47
Ni: 0.9633 0.9266 0.6335  3 Si 2.26-2.27, 1 Ni 2.52
Ni: 0.5902 0.1805 0.6627  3 Si 2.29-2.36, 1 Ni 2.47
Ni: 0.4098 0.8195 0.3373  3 Si 2.29-2.36, 1 Ni 2.47
Ni: 0.0367 0.0734 0.3665  3 Si 2.26-2.27, 1 Ni 2.52
Ni: 0.6830 0.3660 0.4400  4 Si 2.31-2.45, 1 Ni 2.47

Summary:
DOS(E_F) in states/eV/atom: 0.647
Density in Mg/m³: 7.0
ΔE to the lowest computed polymorph in eV per atom: 0.0373
Uncorrected formation energy in eV/atom: -0.690
Calculated total energy in eV per cell: -74.160

Record 2
Pm4SiNi3 | PBE-GGA | relaxed

Lattice parameters (Å, degrees): 4.0666 4.1498 10.5708 90.00 90.00 90.00
With the nearest neighbours (Å) after each atom.
Positions (direct):
Pm: 0.5000 0.5000 0.3637  6 Ni 2.97-3.00, 1 Si 3.18
Pm: 0.0000 0.5000 0.8544  2 Si 3.00, 5 Ni 3.02-3.03
Pm: 0.0000 0.0000 0.1414  3 Ni 2.99-3.11, 4 Si 3.02
Pm: 0.5000 0.0000 0.6389  7 Ni 2.96-3.12
Si: 0.5000 0.5000 0.0628  2 Ni 2.48
Ni: 0.0000 0.5000 0.5687  2 Ni 2.51
Ni: 0.0000 0.0000 0.4356  2 Ni 2.51
Ni: 0.5000 0.0000 0.9345  2 Si 2.48

Summary:
DOS(E_F) in states/eV/atom: 0.786
Density in Mg/m³: 7.3
Uncorrected formation energy in eV/atom: -0.445
Calculated total energy in eV per cell: -45.332

Record 3
Pm2Si3Ni2 | PBE-GGA | relaxed

Lattice parameters (Å, degrees): 4.1902 6.6763 9.0512 90.00 103.38 90.00
With the nearest neighbours (Å) after each atom.
Positions (direct):
Pm: 0.1588 0.2500 0.3176  6 Ni 2.89-2.98, 6 Si 2.95
Pm: 0.8412 0.7500 0.6824  6 Ni 2.89-2.98, 6 Si 2.95
Pm: 0.9468 0.2500 0.8937  9 Si 2.99-3.17
Pm: 0.0532 0.7500 0.1063  9 Si 2.99-3.17
Si: 0.2233 0.7500 0.4465  6 Ni 2.49-2.52
Si: 0.7767 0.2500 0.5535  6 Ni 2.49-2.52
Si: 0.5631 0.4320 0.1262  2 Si 2.40-2.43, 1 Ni 2.45
Si: 0.4369 0.5680 0.8738  2 Si 2.40-2.43, 1 Ni 2.45
Si: 0.4369 0.9320 0.8738  2 Si 2.40-2.43, 1 Ni 2.45
Si: 0.5631 0.0680 0.1262  2 Si 2.40-2.43, 1 Ni 2.45
Ni: 0.6946 0.9459 0.3892  4 Si 2.45-2.52, 1 Ni 2.62
Ni: 0.3054 0.0541 0.6108  4 Si 2.45-2.52, 1 Ni 2.62
Ni: 0.3054 0.4459 0.6108  4 Si 2.45-2.52, 1 Ni 2.62
Ni: 0.6946 0.5541 0.3892  4 Si 2.45-2.52, 1 Ni 2.62

Summary:
DOS(E_F) in states/eV/atom: 0.512
Density in Mg/m³: 6.6
ΔE to the lowest computed polymorph in eV per atom: 0.0000
Uncorrected formation energy in eV/atom: -0.729
Calculated total energy in eV per cell: -84.869

Record 4
PmSi5Ni2 | PBE-GGA | relaxed

Lattice parameters (Å, degrees): 4.1807 5.9769 5.9769 64.68 69.53 69.53
With the nearest neighbours (Å) after each atom.
Positions (direct):
Pm: 0.0000 0.0000 0.0000  14 Si 3.16-3.52, 4 Ni 3.16
Si: 0.0000 0.5000 0.5000  2 Ni 2.22
Si: 0.6395 0.5480 0.1730  1 Ni 2.28, 1 Si 2.40
Si: 0.3605 0.4520 0.8270  1 Ni 2.28, 1 Si 2.40
Si: 0.3605 0.8270 0.4520  1 Ni 2.28, 1 Si 2.40
Si: 0.6395 0.1730 0.5480  1 Ni 2.28, 1 Si 2.40
Ni: 0.7584 0.7416 0.7416  3 Si 2.22-2.28
Ni: 0.2416 0.2584 0.2584  3 Si 2.22-2.28

Summary:
DOS(E_F) in states/eV/atom: 0.327
Density in Mg/m³: 5.4
Uncorrected formation energy in eV/atom: -0.299
Calculated total energy in eV per cell: -45.820

Record 5
PmSi2Ni9 | PBE-GGA | relaxed

Lattice parameters (Å, degrees): 6.2030 7.6045 7.6045 80.42 65.93 65.93
With the nearest neighbours (Å) after each atom.
Positions (direct):
Pm: 0.5000 0.0000 0.0000  18 Ni 3.04-3.18, 4 Si 3.38
Pm: 0.2500 0.5000 0.5000  18 Ni 3.04-3.18, 4 Si 3.38
Si: 0.8750 0.2500 0.7500  10 Ni 2.34-2.57
Si: 0.8750 0.7500 0.2500  10 Ni 2.34-2.57
Si: 0.8750 0.2500 0.2500  10 Ni 2.34-2.57
Si: 0.3750 0.7500 0.7500  10 Ni 2.34-2.57
Ni: 0.7500 0.5000 0.5000  4 Si 2.57, 8 Ni 2.61
Ni: 0.0000 0.0000 0.0000  4 Si 2.57, 8 Ni 2.61
Ni: 0.0156 0.9212 0.6724  2 Si 2.34-2.38, 8 Ni 2.42-2.61
Ni: 0.6092 0.0788 0.3276  2 Si 2.34-2.38, 8 Ni 2.42-2.61
Ni: 0.6868 0.1724 0.5788  2 Si 2.34-2.38, 8 Ni 2.42-2.61
Ni: 0.4380 0.8276 0.4212  2 Si 2.34-2.38, 8 Ni 2.42-2.61
Ni: 0.7344 0.8276 0.5788  2 Si 2.34-2.38, 8 Ni 2.42-2.61
Ni: 0.1408 0.1724 0.4212  2 Si 2.34-2.38, 8 Ni 2.42-2.61
Ni: 0.0632 0.9212 0.3276  2 Si 2.34-2.38, 8 Ni 2.42-2.61
Ni: 0.3120 0.0788 0.6724  2 Si 2.34-2.38, 8 Ni 2.42-2.61
Ni: 0.7344 0.5788 0.8276  2 Si 2.34-2.38, 8 Ni 2.42-2.61
Ni: 0.1408 0.4212 0.1724  2 Si 2.34-2.38, 8 Ni 2.42-2.61
Ni: 0.0632 0.3276 0.9212  2 Si 2.34-2.38, 8 Ni 2.42-2.61
Ni: 0.3120 0.6724 0.0788  2 Si 2.34-2.38, 8 Ni 2.42-2.61
Ni: 0.0156 0.6724 0.9212  2 Si 2.34-2.38, 8 Ni 2.42-2.61
Ni: 0.6092 0.3276 0.0788  2 Si 2.34-2.38, 8 Ni 2.42-2.61
Ni: 0.6868 0.5788 0.1724  2 Si 2.34-2.38, 8 Ni 2.42-2.61
Ni: 0.4380 0.4212 0.8276  2 Si 2.34-2.38, 8 Ni 2.42-2.61

Summary:
DOS(E_F) in states/eV/atom: 0.803
Density in Mg/m³: 8.1
Uncorrected formation energy in eV/atom: -0.472
Calculated total energy in eV per cell: -146.580

Record 6
Pm3Si2Ni7 | PBE-GGA | relaxed

Lattice parameters (Å, degrees): 5.2190 5.2190 8.3766 71.85 71.85 60.00
With the nearest neighbours (Å) after each atom.
Positions (direct):
Pm: 0.0000 0.0000 0.0000  6 Si 3.01, 12 Ni 3.17, 2 Pm 3.34
Pm: 0.8576 0.8576 0.4271  12 Ni 3.03-3.09, 4 Pm 3.22-3.34
Pm: 0.1424 0.1424 0.5729  12 Ni 3.03-3.09, 4 Pm 3.22-3.34
Si: 0.6688 0.6688 0.9935  6 Ni 2.32-2.37
Si: 0.3312 0.3312 0.0065  6 Ni 2.32-2.37
Ni: 0.5000 0.5000 0.5000  6 Ni 2.58
Ni: 0.9173 0.4264 0.2300  2 Si 2.32-2.37, 3 Ni 2.56-2.58
Ni: 0.4264 0.9173 0.2300  2 Si 2.32-2.37, 3 Ni 2.56-2.58
Ni: 0.4264 0.4264 0.2300  2 Si 2.32-2.37, 3 Ni 2.56-2.58
Ni: 0.0827 0.5736 0.7700  2 Si 2.32-2.37, 3 Ni 2.56-2.58
Ni: 0.5736 0.5736 0.7700  2 Si 2.32-2.37, 3 Ni 2.56-2.58
Ni: 0.5736 0.0827 0.7700  2 Si 2.32-2.37, 3 Ni 2.56-2.58

Summary:
DOS(E_F) in states/eV/atom: 0.825
Density in Mg/m³: 8.1
Uncorrected formation energy in eV/atom: -0.515
Calculated total energy in eV per cell: -71.753

Record 7
Pm2SiNi | PBE-GGA | relaxed

Lattice parameters (Å, degrees): 4.1647 5.8975 8.0799 110.42 90.00 90.00
With the nearest neighbours (Å) after each atom.
Positions (direct):
Pm: 0.7500 0.2199 0.4108  3 Ni 2.92-3.04, 4 Si 3.05-3.11
Pm: 0.2500 0.7801 0.5892  3 Ni 2.92-3.04, 4 Si 3.05-3.11
Pm: 0.2500 0.7709 0.0519  3 Ni 2.85-3.01, 3 Si 3.04-3.08
Pm: 0.7500 0.2291 0.9481  3 Ni 2.85-3.01, 3 Si 3.04-3.08
Si: 0.7500 0.6582 0.2928  2 Ni 2.44
Si: 0.2500 0.3418 0.7072  2 Ni 2.44
Ni: 0.2500 0.4296 0.2302  2 Si 2.44
Ni: 0.7500 0.5704 0.7698  2 Si 2.44

Summary:
DOS(E_F) in states/eV/atom: 0.945
Density in Mg/m³: 6.7
ΔE to the lowest computed polymorph in eV per atom: 0.0000
Uncorrected formation energy in eV/atom: -0.555
Calculated total energy in eV per cell: -45.849

Record 8
Pm2Si3Ni | PBE-GGA | relaxed

Lattice parameters (Å, degrees): 5.8276 5.8276 8.1509 111.99 111.99 87.28
With the nearest neighbours (Å) after each atom.
Positions (direct):
Pm: 0.2500 0.7500 0.5000  8 Si 3.11-3.12, 4 Ni 3.14
Pm: 0.7549 0.7549 0.0000  10 Si 3.14-3.16, 2 Ni 3.17
Pm: 0.7500 0.2500 0.5000  8 Si 3.11-3.12, 4 Ni 3.14
Pm: 0.2451 0.2451 0.0000  10 Si 3.14-3.16, 2 Ni 3.17
Si: 0.3433 0.8276 0.1709  1 Ni 2.25, 2 Si 2.38-2.39
Si: 0.1724 0.6567 0.8291  1 Ni 2.25, 2 Si 2.38-2.39
Si: 0.6567 0.1724 0.8291  1 Ni 2.25, 2 Si 2.38-2.39
Si: 0.8276 0.3433 0.1709  1 Ni 2.25, 2 Si 2.38-2.39
Si: 0.1712 0.1712 0.3425  1 Ni 2.26, 2 Si 2.39
Si: 0.8288 0.8288 0.6575  1 Ni 2.26, 2 Si 2.39
Ni: 0.6667 0.6667 0.3334  3 Si 2.25-2.26
Ni: 0.3333 0.3333 0.6666  3 Si 2.25-2.26

Summary:
DOS(E_F) in states/eV/atom: 0.543
Density in Mg/m³: 6.1
Uncorrected formation energy in eV/atom: -0.839
Calculated total energy in eV per cell: -73.172

Record 9
PmSi3Ni5 | PBE-GGA | relaxed

Lattice parameters (Å, degrees): 3.6929 6.1423 11.6092 90.00 90.00 107.49
With the nearest neighbours (Å) after each atom.
Positions (direct):
Pm: 0.8388 0.6776 0.7500  7 Si 3.11-3.23, 10 Ni 3.27-3.46
Pm: 0.1612 0.3224 0.2500  7 Si 3.11-3.23, 10 Ni 3.27-3.46
Si: 0.3835 0.7670 0.9610  7 Ni 2.21-2.41
Si: 0.8873 0.7745 0.2500  6 Ni 2.32-2.34
Si: 0.3835 0.7670 0.5390  7 Ni 2.21-2.41
Si: 0.6165 0.2330 0.4610  7 Ni 2.21-2.41
Si: 0.1127 0.2255 0.7500  6 Ni 2.32-2.34
Si: 0.6165 0.2330 0.0390  7 Ni 2.21-2.41
Ni: 0.8032 0.6064 0.4331  4 Si 2.21-2.41, 1 Ni 2.43
Ni: 0.1968 0.3936 0.9331  4 Si 2.21-2.41, 1 Ni 2.43
Ni: 0.0000 0.0000 0.5000  4 Si 2.34, 6 Ni 2.43-2.57
Ni: 0.0000 0.0000 0.0000  4 Si 2.34, 6 Ni 2.43-2.57
Ni: 0.4486 0.8972 0.1455  4 Si 2.27-2.32, 1 Ni 2.43
Ni: 0.5514 0.1028 0.8545  4 Si 2.27-2.32, 1 Ni 2.43
Ni: 0.5514 0.1028 0.6455  4 Si 2.27-2.32, 1 Ni 2.43
Ni: 0.8032 0.6064 0.0669  4 Si 2.21-2.41, 1 Ni 2.43
Ni: 0.1968 0.3936 0.5669  4 Si 2.21-2.41, 1 Ni 2.43
Ni: 0.4486 0.8972 0.3545  4 Si 2.27-2.32, 1 Ni 2.43

Summary:
DOS(E_F) in states/eV/atom: 0.519
Density in Mg/m³: 6.9
Uncorrected formation energy in eV/atom: -0.685
Calculated total energy in eV per cell: -112.181

Record 10
Pm3Si2Ni2 | PBE-GGA | relaxed

Lattice parameters (Å, degrees): 5.6229 7.9270 12.7315 90.00 90.00 90.00
With the nearest neighbours (Å) after each atom.
Positions (direct):
Pm: 0.1321 0.6125 0.1013  4 Ni 2.88-3.17, 2 Si 3.01-3.02
Pm: 0.8679 0.3875 0.6013  4 Ni 2.88-3.17, 2 Si 3.01-3.02
Pm: 0.8679 0.1125 0.3987  4 Ni 2.88-3.17, 2 Si 3.01-3.02
Pm: 0.1321 0.8875 0.8987  4 Ni 2.88-3.17, 2 Si 3.01-3.02
Pm: 0.8679 0.3875 0.8987  4 Ni 2.88-3.17, 2 Si 3.01-3.02
Pm: 0.1321 0.6125 0.3987  4 Ni 2.88-3.17, 2 Si 3.01-3.02
Pm: 0.1321 0.8875 0.6013  4 Ni 2.88-3.17, 2 Si 3.01-3.02
Pm: 0.8679 0.1125 0.1013  4 Ni 2.88-3.17, 2 Si 3.01-3.02
Pm: 0.3552 0.2586 0.2500  5 Si 2.92-3.18, 4 Ni 3.02-3.10
Pm: 0.6448 0.7414 0.7500  5 Si 2.92-3.18, 4 Ni 3.02-3.10
Pm: 0.6448 0.7586 0.2500  5 Si 2.92-3.18, 4 Ni 3.02-3.10
Pm: 0.3552 0.2414 0.7500  5 Si 2.92-3.18, 4 Ni 3.02-3.10
Si: 0.3685 0.2500 0.0000  4 Ni 2.48-2.50
Si: 0.6315 0.7500 0.5000  4 Ni 2.48-2.50
Si: 0.6315 0.7500 0.0000  4 Ni 2.48-2.50
Si: 0.3685 0.2500 0.5000  4 Ni 2.48-2.50
Si: 0.8301 0.4088 0.2500  2 Ni 2.44
Si: 0.1699 0.5912 0.7500  2 Ni 2.44
Si: 0.1699 0.9088 0.2500  2 Ni 2.44
Si: 0.8301 0.0912 0.7500  2 Ni 2.44
Ni: 0.6129 0.4680 0.0881  3 Si 2.44-2.50, 1 Ni 2.63
Ni: 0.3871 0.5320 0.5881  3 Si 2.44-2.50, 1 Ni 2.63
Ni: 0.3871 0.9680 0.4119  3 Si 2.44-2.50, 1 Ni 2.63
Ni: 0.6129 0.0320 0.9119  3 Si 2.44-2.50, 1 Ni 2.63
Ni: 0.3871 0.5320 0.9119  3 Si 2.44-2.50, 1 Ni 2.63
Ni: 0.6129 0.4680 0.4119  3 Si 2.44-2.50, 1 Ni 2.63
Ni: 0.6129 0.0320 0.5881  3 Si 2.44-2.50, 1 Ni 2.63
Ni: 0.3871 0.9680 0.0881  3 Si 2.44-2.50, 1 Ni 2.63

Summary:
DOS(E_F) in states/eV/atom: 0.813
Density in Mg/m³: 7.1
Uncorrected formation energy in eV/atom: -0.638
Calculated total energy in eV per cell: -164.512

Record 11
PmSiNi2 | PBE-GGA | relaxed

Lattice parameters (Å, degrees): 4.0132 4.0132 9.6777 90.00 90.00 120.00
With the nearest neighbours (Å) after each atom.
Positions (direct):
Pm: 0.3333 0.6667 0.2500  8 Ni 2.89-3.03
Pm: 0.6667 0.3333 0.7500  8 Ni 2.89-3.03
Si: 0.0000 0.0000 0.0000  6 Ni 2.36
Si: 0.0000 0.0000 0.5000  6 Ni 2.36
Ni: 0.6667 0.3333 0.0485  3 Si 2.36, 3 Ni 2.50
Ni: 0.3333 0.6667 0.5485  3 Si 2.36, 3 Ni 2.50
Ni: 0.6667 0.3333 0.4515  3 Si 2.36, 3 Ni 2.50
Ni: 0.3333 0.6667 0.9515  3 Si 2.36, 3 Ni 2.50

Summary:
DOS(E_F) in states/eV/atom: 0.728
Density in Mg/m³: 7.1
ΔE to the lowest computed polymorph in eV per atom: 0.0000
Uncorrected formation energy in eV/atom: -0.653
Calculated total energy in eV per cell: -48.696

Record 12
Pm2Si5Ni3 | PBE-GGA | relaxed

Lattice parameters (Å, degrees): 5.7353 7.9790 7.9790 74.40 68.94 68.94
With the nearest neighbours (Å) after each atom.
Positions (direct):
Pm: 0.1307 0.6071 0.1315  10 Si 2.92-3.14, 6 Ni 3.05-3.26
Pm: 0.6307 0.1315 0.6071  10 Si 2.92-3.14, 6 Ni 3.05-3.26
Pm: 0.8693 0.3929 0.8685  10 Si 2.92-3.14, 6 Ni 3.05-3.26
Pm: 0.3693 0.8685 0.3929  10 Si 2.92-3.14, 6 Ni 3.05-3.26
Si: 0.3917 0.2573 0.9593  3 Ni 2.33-2.37, 2 Si 2.49
Si: 0.8917 0.9593 0.2573  3 Ni 2.33-2.37, 2 Si 2.49
Si: 0.6083 0.7427 0.0407  3 Ni 2.33-2.37, 2 Si 2.49
Si: 0.1083 0.0407 0.7427  3 Ni 2.33-2.37, 2 Si 2.49
Si: 0.4855 0.7645 0.7645  2 Ni 2.33, 2 Si 2.49
Si: 0.5145 0.2355 0.2355  2 Ni 2.33, 2 Si 2.49
Si: 0.7500 0.5000 0.5000  4 Ni 2.34
Si: 0.2500 0.5000 0.5000  4 Ni 2.34
Si: 0.0145 0.2355 0.2355  2 Ni 2.33, 2 Si 2.49
Si: 0.9855 0.7645 0.7645  2 Ni 2.33, 2 Si 2.49
Ni: 0.3667 0.5222 0.7443  5 Si 2.33-2.34
Ni: 0.8667 0.7443 0.5222  5 Si 2.33-2.34
Ni: 0.6333 0.4778 0.2557  5 Si 2.33-2.34
Ni: 0.1333 0.2557 0.4778  5 Si 2.33-2.34
Ni: 0.2500 0.0000 0.0000  4 Si 2.37
Ni: 0.7500 0.0000 0.0000  4 Si 2.37

Summary:
DOS(E_F) in states/eV/atom: 0.233
Density in Mg/m³: 6.4
Uncorrected formation energy in eV/atom: -0.784
Calculated total energy in eV per cell: -123.607

Q: What is the formula in the eleventh record?
A: PmSiNi2

Q: Among the records above, which one has the lowest calculated total energy?
A: Pm3Si2Ni2